# 1
VASP calculation (meta-GGA SCAN) on a PBEsol-optimized structure of TlOsPt. Values from VASP.

Properties
**ΔE_f**: 0.89 eV/atom
**DOS(E_F)**: 2.7 states/eV per cell
**SG**: F-43m, No. 216
**Total DFT energy (no corrections)**: -211.75 eV for the cell shown

The structure in Quantum ESPRESSO input format:
```
&SYSTEM
  ibrav = 0, nat = 3, ntyp = 3
/
ATOMIC_SPECIES
Pt 195.08 Pt.upf
Tl 204.38 Tl.upf
Os 190.23 Os.upf
CELL_PARAMETERS angstrom
4.3693 0.0000 0.0000
2.1846 3.7839 0.0000
2.1846 1.2613 3.5675
ATOMIC_POSITIONS crystal
Pt 0.7500 0.7500 0.7500
Tl 0.0000 0.0000 0.0000
Os 0.5000 0.5000 0.5000
```



# 2
VASP calculation (meta-GGA SCAN) on a PBEsol-optimized structure of Pr3Dy. Values from VASP.

Properties
**ΔE_f**: 0.01 eV/atom
**DOS(E_F)**: 5.2 states/eV per cell
**SG**: Pm-3m, No. 221
**Total DFT energy (no corrections)**: -177.72 eV for the cell shown
**Offset from the most stable computed form**: 0.0000 eV/atom

The structure in Quantum ESPRESSO input format:
```
&SYSTEM
  ibrav = 0, nat = 4, ntyp = 2
/
ATOMIC_SPECIES
Pr 140.91 Pr.upf
Dy 162.50 Dy.upf
CELL_PARAMETERS angstrom
5.0756 0.0000 0.0000
0.0000 5.0756 0.0000
0.0000 0.0000 5.0756
ATOMIC_POSITIONS crystal
Pr 0.0000 0.5000 0.5000
Pr 0.5000 0.5000 0.0000
Pr 0.5000 0.0000 0.5000
Dy 0.0000 0.0000 0.0000
```



# 3
VASP calculation (meta-GGA SCAN) on a PBEsol-optimized structure of RbBi2Au2. Values from VASP.

Properties
**ΔE_f**: -0.25 eV/atom
**DOS(E_F)**: 2.0 states/eV per cell
**SG**: I4/mmm, No. 139
**Total DFT energy (no corrections)**: -317.44 eV for the cell shown

The structure in Quantum ESPRESSO input format:
```
&SYSTEM
  ibrav = 0, nat = 5, ntyp = 3
/
ATOMIC_SPECIES
Au 196.97 Au.upf
Bi 208.98 Bi.upf
Rb 85.47 Rb.upf
CELL_PARAMETERS angstrom
-4.8401 -0.3239 1.4051
-0.5746 -4.0804 -2.9199
4.2200 -1.1812 5.1878
ATOMIC_POSITIONS crystal
Au 0.7500 0.2500 0.5000
Au 0.2500 0.7500 0.5000
Bi 0.6353 0.6353 0.2705
Bi 0.3647 0.3647 0.7295
Rb 0.0000 0.0000 0.0000
```



# 4
VASP calculation (meta-GGA SCAN) on a PBEsol-optimized structure of Zr2InNi2. Values from VASP.

Properties
**ΔE_f**: -0.60 eV/atom
**DOS(E_F)**: 5.7 states/eV per cell
**SG**: P4/mbm, No. 127
**Total DFT energy (no corrections)**: -260.29 eV for the cell shown

The structure in Quantum ESPRESSO input format:
```
&SYSTEM
  ibrav = 0, nat = 10, ntyp = 3
/
ATOMIC_SPECIES
Zr 91.22 Zr.upf
In 114.82 In.upf
Ni 58.69 Ni.upf
CELL_PARAMETERS angstrom
3.2993 0.0000 0.0000
0.0000 7.1174 0.0000
0.0000 0.0000 7.1174
ATOMIC_POSITIONS crystal
Zr 0.5000 0.6684 0.1684
Zr 0.5000 0.1684 0.3316
Zr 0.5000 0.8316 0.6684
Zr 0.5000 0.3316 0.8316
In 0.0000 0.5000 0.5000
In 0.0000 0.0000 0.0000
Ni 0.0000 0.1246 0.6246
Ni 0.0000 0.3754 0.1246
Ni 0.0000 0.8754 0.3754
Ni 0.0000 0.6246 0.8754
```



# 5
VASP calculation (meta-GGA SCAN) on a PBEsol-optimized structure of Tm3Mn3Ga2Si. Values from VASP.

Properties
**DOS(E_F)**: 8.2 states/eV per cell
**SG**: P-62m, No. 189
**Total DFT energy (no corrections)**: -257.68 eV for the cell shown
**Uncorrected formation energy**: -0.52 eV/atom

The structure in Quantum ESPRESSO input format:
```
&SYSTEM
  ibrav = 0, nat = 9, ntyp = 4
/
ATOMIC_SPECIES
Mn 54.94 Mn.upf
Tm 168.93 Tm.upf
Ga 69.72 Ga.upf
Si 28.09 Si.upf
CELL_PARAMETERS angstrom
-3.5731 0.7673 -0.9718
1.5562 -1.1556 -6.6340
-2.2010 -5.1971 3.9891
ATOMIC_POSITIONS crystal
Mn 0.0000 0.7799 0.7799
Mn 0.0000 0.0000 0.2201
Mn 0.0000 0.2201 0.0000
Tm 0.5000 0.5956 0.0000
Tm 0.5000 0.0000 0.5956
Tm 0.5000 0.4044 0.4044
Ga 0.0000 0.6667 0.3333
Ga 0.0000 0.3333 0.6667
Si 0.5000 0.0000 0.0000
```



# 6
VASP calculation (meta-GGA SCAN) on a PBEsol-optimized structure of Mn2TlCd. Values from VASP.

Properties
**ΔE_f**: 0.16 eV/atom
**DOS(E_F)**: 2.4 states/eV per cell
**SG**: C2/m, No. 12
**Total DFT energy (no corrections)**: -138.65 eV for the cell shown

The structure in Quantum ESPRESSO input format:
```
&SYSTEM
  ibrav = 0, nat = 4, ntyp = 3
/
ATOMIC_SPECIES
Mn 54.94 Mn.upf
Cd 112.41 Cd.upf
Tl 204.38 Tl.upf
CELL_PARAMETERS angstrom
3.0575 0.0000 0.0000
-1.5287 4.5999 -0.0247
0.0000 -1.0235 5.1303
ATOMIC_POSITIONS crystal
Mn 0.7493 0.4987 0.7373
Mn 0.2507 0.5013 0.2627
Cd 0.0000 0.0000 0.5000
Tl 0.5000 0.0000 0.0000
```



# 7
VASP calculation (meta-GGA SCAN) on a PBEsol-optimized structure of BaTcMo2. Values from VASP.

Properties
**ΔE_f**: 1.43 eV/atom
**DOS(E_F)**: 3.7 states/eV per cell
**SG**: C2/m, No. 12
**Total DFT energy (no corrections)**: -138.65 eV for the cell shown
**Offset from the most stable computed form**: 0.7004 eV/atom

The structure in Quantum ESPRESSO input format:
```
&SYSTEM
  ibrav = 0, nat = 4, ntyp = 3
/
ATOMIC_SPECIES
Tc 98.00 Tc.upf
Mo 95.94 Mo.upf
Ba 137.33 Ba.upf
CELL_PARAMETERS angstrom
2.9601 0.0176 0.0000
-1.1232 5.2384 0.0000
-0.9184 -2.6280 4.6654
ATOMIC_POSITIONS crystal
Tc 0.5000 0.0000 0.0000
Mo 0.0000 0.0000 0.5000
Mo 0.5000 0.5000 0.5000
Ba 0.0000 0.5000 0.0000
```



# 8
VASP calculation (meta-GGA SCAN) on a PBEsol-optimized structure of NiAsS2. Values from VASP.

Properties
**DOS(E_F)**: 2.9 states/eV per cell
**SG**: R-3m, No. 166
**Total DFT energy (no corrections)**: -55.07 eV for the cell shown
**Uncorrected formation energy**: 0.14 eV/atom

The structure in Quantum ESPRESSO input format:
```
&SYSTEM
  ibrav = 0, nat = 4, ntyp = 3
/
ATOMIC_SPECIES
Ni 58.69 Ni.upf
As 74.92 As.upf
S 32.06 S.upf
CELL_PARAMETERS angstrom
-2.1019 -2.2559 -1.8423
-0.5405 -3.3401 1.2053
-6.3986 0.3295 3.3955
ATOMIC_POSITIONS crystal
Ni 0.0000 0.0000 0.0000
As 0.5000 0.5000 0.5000
S 0.0988 0.0988 0.7037
S 0.9012 0.9012 0.2963
```



# 9
VASP calculation (meta-GGA SCAN) on a PBEsol-optimized structure of Sm5Rh4. Values from VASP.

Properties
**ΔE_f**: -0.82 eV/atom
**DOS(E_F)**: 13.5 states/eV per cell
**SG**: Pnma, No. 62
**Total DFT energy (no corrections)**: -1458.69 eV for the cell shown

The structure in Quantum ESPRESSO input format:
```
&SYSTEM
  ibrav = 0, nat = 36, ntyp = 2
/
ATOMIC_SPECIES
Rh 102.91 Rh.upf
Sm 150.36 Sm.upf
CELL_PARAMETERS angstrom
-2.5350 -6.0701 -3.2350
-2.0881 -2.6844 6.6732
-13.0277 6.2692 -1.5547
ATOMIC_POSITIONS crystal
Rh 0.1797 0.5340 0.5390
Rh 0.8072 0.3521 0.7500
Rh 0.0444 0.9025 0.7500
Rh 0.9556 0.0975 0.2500
Rh 0.1797 0.5340 0.9610
Rh 0.8203 0.4660 0.4610
Rh 0.8203 0.4660 0.0390
Rh 0.3072 0.1479 0.7500
Rh 0.1928 0.6479 0.2500
Rh 0.6928 0.8521 0.2500
Rh 0.4556 0.4025 0.2500
Rh 0.3203 0.0340 0.0390
Rh 0.5444 0.5975 0.7500
Rh 0.6797 0.9660 0.5390
Rh 0.6797 0.9660 0.9610
Rh 0.3203 0.0340 0.4610
Sm 0.5074 0.6797 0.4081
Sm 0.0074 0.8203 0.0919
Sm 0.3225 0.9888 0.2500
Sm 0.4926 0.3203 0.9081
Sm 0.0074 0.8203 0.4081
Sm 0.5074 0.6797 0.0919
Sm 0.3402 0.8323 0.6224
Sm 0.3402 0.8323 0.8776
Sm 0.8225 0.5112 0.2500
Sm 0.6598 0.1677 0.3776
Sm 0.9926 0.1797 0.9081
Sm 0.4926 0.3203 0.5919
Sm 0.1598 0.3323 0.1224
Sm 0.8402 0.6677 0.6224
Sm 0.6775 0.0112 0.7500
Sm 0.1598 0.3323 0.3776
Sm 0.9926 0.1797 0.5919
Sm 0.8402 0.6677 0.8776
Sm 0.6598 0.1677 0.1224
Sm 0.1775 0.4888 0.7500
```



# 10
VASP calculation (meta-GGA SCAN) on a PBEsol-optimized structure of CdSeI2. Values from VASP.

Properties
**DOS(E_F)**: 2.4 states/eV per cell
**SG**: I-42d, No. 122
**Total DFT energy (no corrections)**: -246.74 eV for the cell shown
**Uncorrected formation energy**: 0.15 eV/atom

The structure in Quantum ESPRESSO input format:
```
&SYSTEM
  ibrav = 0, nat = 8, ntyp = 3
/
ATOMIC_SPECIES
I 126.90 I.upf
Se 78.96 Se.upf
Cd 112.41 Cd.upf
CELL_PARAMETERS angstrom
6.8120 0.1917 -0.3266
-2.1675 6.4608 0.3266
2.1675 3.4344 5.4822
ATOMIC_POSITIONS crystal
I 0.0265 0.9015 0.6250
I 0.5265 0.6250 0.3485
I 0.4735 0.1250 0.9015
I 0.9735 0.3485 0.1250
Se 0.0000 0.5000 0.5000
Se 0.5000 0.7500 0.7500
Cd 0.0000 0.0000 0.0000
Cd 0.5000 0.2500 0.2500
```



# 11
VASP calculation (meta-GGA SCAN) on a PBEsol-optimized structure of Tl2AgSb. Values from VASP.

Properties
**DOS(E_F)**: 1.3 states/eV per cell
**SG**: Cm, No. 8
**Total DFT energy (no corrections)**: -213.05 eV for the cell shown
**Uncorrected formation energy**: 0.07 eV/atom
**Offset from the most stable computed form**: 0.0000 eV/atom

The structure in Quantum ESPRESSO input format:
```
&SYSTEM
  ibrav = 0, nat = 4, ntyp = 3
/
ATOMIC_SPECIES
Tl 204.38 Tl.upf
Sb 121.76 Sb.upf
Ag 107.87 Ag.upf
CELL_PARAMETERS angstrom
3.2691 0.0000 0.0000
-1.6345 4.4214 0.1276
0.0000 -1.0496 7.2092
ATOMIC_POSITIONS crystal
Tl 0.9969 0.9938 0.9899
Tl 0.7607 0.5214 0.2910
Sb 0.2405 0.4809 0.7003
Ag 0.5019 0.0039 0.5188
```



# 12
VASP calculation (meta-GGA SCAN) on a PBEsol-optimized structure of TiIr2OsN. Values from VASP.

Properties
**DOS(E_F)**: 3.7 states/eV per cell
**SG**: P4/mmm, No. 123
**Total DFT energy (no corrections)**: -225.68 eV for the cell shown
**Uncorrected formation energy**: 2.74 eV/atom

The structure in Quantum ESPRESSO input format:
```
&SYSTEM
  ibrav = 0, nat = 5, ntyp = 4
/
ATOMIC_SPECIES
N 14.01 N.upf
Ti 47.87 Ti.upf
Ir 192.22 Ir.upf
Os 190.23 Os.upf
CELL_PARAMETERS angstrom
-1.6696 -2.3324 -3.4633
-0.7595 -3.4980 2.7219
-4.1698 1.6204 0.9190
ATOMIC_POSITIONS crystal
N 0.5000 0.5000 0.5000
Ti 0.0000 0.0000 0.0000
Ir 0.5000 0.0000 0.0000
Ir 0.0000 0.5000 0.0000
Os 0.0000 0.0000 0.5000
```



# 13
VASP calculation (meta-GGA SCAN) on a PBEsol-optimized structure of Li3V4O7F5. Values from VASP.

Properties
**DOS(E_F)**: 3.0 states/eV per cell
**SG**: P1, No. 1
**Total DFT energy (no corrections)**: -191.63 eV for the cell shown
**Uncorrected formation energy**: -2.80 eV/atom

The structure in Quantum ESPRESSO input format:
```
&SYSTEM
  ibrav = 0, nat = 19, ntyp = 4
/
ATOMIC_SPECIES
V 50.94 V.upf
O 16.00 O.upf
F 19.00 F.upf
Li 6.94 Li.upf
CELL_PARAMETERS angstrom
-1.9078 1.2714 -4.4852
0.4429 -3.4888 -3.8632
-6.4677 -5.6360 1.0095
ATOMIC_POSITIONS crystal
V 0.2117 0.5824 0.7410
V 0.7625 0.4835 0.2381
V 0.9260 0.0379 0.0022
V 0.5248 0.9992 0.4984
O 0.4240 0.7647 0.6780
O 0.9401 0.7456 0.1816
O 0.5895 0.2498 0.3227
O 0.9267 0.7695 0.5736
O 0.0041 0.2386 0.1226
O 0.0028 0.7677 0.8786
O 0.5536 0.2582 0.9362
F 0.4756 0.2561 0.6348
F 0.4954 0.7587 0.3685
F 0.4456 0.7380 0.0554
F 0.0782 0.2448 0.4270
F 0.0879 0.2414 0.8251
Li 0.0757 0.8539 0.3528
Li 0.5279 0.9221 0.8426
Li 0.2905 0.4024 0.1018
```



# 14
VASP calculation (meta-GGA SCAN) on a PBEsol-optimized structure of LiMg2Te. Values from VASP.

Properties
**DOS(E_F)**: 1.5 states/eV per cell
**SG**: I4/mmm, No. 139
**Total DFT energy (no corrections)**: -50.89 eV for the cell shown
**Uncorrected formation energy**: -0.32 eV/atom

The structure in Quantum ESPRESSO input format:
```
&SYSTEM
  ibrav = 0, nat = 4, ntyp = 3
/
ATOMIC_SPECIES
Li 6.94 Li.upf
Te 127.60 Te.upf
Mg 24.30 Mg.upf
CELL_PARAMETERS angstrom
4.1828 0.0000 0.0000
0.0000 4.1810 0.0000
-2.0914 -2.0905 4.9992
ATOMIC_POSITIONS crystal
Li 0.0000 0.5000 0.0000
Te 0.5000 0.0000 0.0000
Mg 0.7497 0.7497 0.4994
Mg 0.2503 0.2503 0.5006
```



# 15
VASP calculation (meta-GGA SCAN) on a PBEsol-optimized structure of TbAg3. Values from VASP.

Properties
**ΔE_f**: -0.23 eV/atom
**DOS(E_F)**: 1.8 states/eV per cell
**SG**: I4/mmm, No. 139
**Total DFT energy (no corrections)**: -141.80 eV for the cell shown
**Offset from the most stable computed form**: 0.0000 eV/atom

The structure in Quantum ESPRESSO input format:
```
&SYSTEM
  ibrav = 0, nat = 4, ntyp = 2
/
ATOMIC_SPECIES
Tb 158.93 Tb.upf
Ag 107.87 Ag.upf
CELL_PARAMETERS angstrom
-2.8868 -3.1423 -0.9394
4.3652 -1.6025 2.1067
-0.2411 -1.0447 4.2356
ATOMIC_POSITIONS crystal
Tb 0.0000 0.0000 0.0000
Ag 0.5000 0.0000 0.5000
Ag 0.7500 0.5000 0.7500
Ag 0.2500 0.5000 0.2500
```



# 16
VASP calculation (meta-GGA SCAN) on a PBEsol-optimized structure of ZrInAs. Values from VASP.

Properties
**ΔE_f**: -0.18 eV/atom
**DOS(E_F)**: 2.1 states/eV per cell
**SG**: P-6m2, No. 187
**Total DFT energy (no corrections)**: -84.80 eV for the cell shown

The structure in Quantum ESPRESSO input format:
```
&SYSTEM
  ibrav = 0, nat = 3, ntyp = 3
/
ATOMIC_SPECIES
In 114.82 In.upf
Zr 91.22 Zr.upf
As 74.92 As.upf
CELL_PARAMETERS angstrom
-0.1872 1.3776 2.5171
3.0471 -3.3095 2.0378
1.8308 4.0796 -2.0965
ATOMIC_POSITIONS crystal
In 0.8338 0.3333 0.6667
Zr 0.3329 0.6667 0.3333
As 0.8333 0.0000 0.0000
```



# 17
VASP calculation (meta-GGA SCAN) on a PBEsol-optimized structure of CdNi2Sb. Values from VASP.

Properties
**DOS(E_F)**: 1.5 states/eV per cell
**SG**: Imm2, No. 44
**Total DFT energy (no corrections)**: -99.43 eV for the cell shown
**Uncorrected formation energy**: 0.15 eV/atom

The structure in Quantum ESPRESSO input format:
```
&SYSTEM
  ibrav = 0, nat = 4, ntyp = 3
/
ATOMIC_SPECIES
Ni 58.69 Ni.upf
Sb 121.76 Sb.upf
Cd 112.41 Cd.upf
CELL_PARAMETERS angstrom
3.3123 0.0000 0.0000
0.0000 4.1195 0.0000
-1.6561 -2.0597 4.5153
ATOMIC_POSITIONS crystal
Ni 0.0212 0.0212 0.0425
Ni 0.7519 0.2519 0.5039
Sb 0.4775 0.4775 0.9551
Cd 0.2493 0.7493 0.4986
```



# 18
VASP calculation (meta-GGA SCAN) on a PBEsol-optimized structure of TaCd2Ru. Values from VASP.

Properties
**ΔE_f**: 0.54 eV/atom
**DOS(E_F)**: 2.8 states/eV per cell
**SG**: P4/mmm, No. 123
**Total DFT energy (no corrections)**: -160.08 eV for the cell shown
**Offset from the most stable computed form**: 0.3301 eV/atom

The structure in Quantum ESPRESSO input format:
```
&SYSTEM
  ibrav = 0, nat = 4, ntyp = 3
/
ATOMIC_SPECIES
Ru 101.07 Ru.upf
Cd 112.41 Cd.upf
Ta 180.95 Ta.upf
CELL_PARAMETERS angstrom
-3.0179 -1.2141 -0.0470
0.1390 -0.2200 -3.2429
2.3810 -5.9378 0.5048
ATOMIC_POSITIONS crystal
Ru 0.5000 0.5000 0.0000
Cd 0.0000 0.0000 0.2304
Cd 0.0000 0.0000 0.7696
Ta 0.5000 0.5000 0.5000
```



# 19
VASP calculation (meta-GGA SCAN) on a PBEsol-optimized structure of YAs2W. Values from VASP.

Properties
**ΔE_f**: 0.12 eV/atom
**DOS(E_F)**: 3.6 states/eV per cell
**SG**: I-4m2, No. 119
**Total DFT energy (no corrections)**: -137.45 eV for the cell shown
**Offset from the most stable computed form**: 0.2742 eV/atom

The structure in Quantum ESPRESSO input format:
```
&SYSTEM
  ibrav = 0, nat = 4, ntyp = 3
/
ATOMIC_SPECIES
W 183.84 W.upf
Y 88.91 Y.upf
As 74.92 As.upf
CELL_PARAMETERS angstrom
3.8747 0.0000 0.0000
0.0000 3.8747 0.0000
-1.9374 -1.9374 4.9185
ATOMIC_POSITIONS crystal
W 0.5000 0.5000 0.0000
Y 0.2500 0.7500 0.5000
As 0.7500 0.2500 0.5000
As 0.0000 0.0000 0.0000
```



# 20
VASP calculation (meta-GGA SCAN) on a PBEsol-optimized structure of YTaFe2. Values from VASP.

Properties
**ΔE_f**: 0.45 eV/atom
**DOS(E_F)**: 3.3 states/eV per cell
**SG**: F-43m, No. 216
**Total DFT energy (no corrections)**: -128.87 eV for the cell shown

The structure in Quantum ESPRESSO input format:
```
&SYSTEM
  ibrav = 0, nat = 4, ntyp = 3
/
ATOMIC_SPECIES
Y 88.91 Y.upf
Fe 55.84 Fe.upf
Ta 180.95 Ta.upf
CELL_PARAMETERS angstrom
4.4321 0.0000 0.0000
2.2160 3.8383 0.0000
2.2160 1.2794 3.6188
ATOMIC_POSITIONS crystal
Y 0.2500 0.2500 0.2500
Fe 0.7500 0.7500 0.7500
Fe 0.0000 0.0000 0.0000
Ta 0.5000 0.5000 0.5000
```